(1)
DFT (PBE-GGA) results for CdOsI2N after structural relaxation.

Output
Formation energy (no corrections) = 37 kJ per mole of atoms

Structure (POSCAR):
```
CdOsI2N
1.0
5.649 0.000 0.000
0.000 5.649 0.000
0.000 0.000 3.763
Os I N Cd
1 2 1 1
Direct
0.000 0.000 0.000
0.000 0.500 0.000
0.500 0.000 0.000
0.000 0.000 0.500
0.500 0.500 0.500
```


(2)
DFT (PBE-GGA) results for Zn3TcBr after structural relaxation.

Output
Formation energy (no corrections) = 141 kJ per mole of atoms

Structure (POSCAR):
```
Zn3TcBr
1.0
5.001 0.000 0.000
0.000 5.001 0.000
0.000 0.000 5.001
Zn Tc Br
3 1 1
Direct
0.000 0.000 0.500
0.000 0.500 0.000
0.500 0.000 0.000
0.500 0.500 0.500
0.000 0.000 0.000
```


(3)
DFT (PBE-GGA) results for ZrAgIO6 after structural relaxation.

Output
Formation energy (no corrections) = -113 kJ per mole of atoms

Structure (POSCAR):
```
ZrAgIO6
1.0
5.478 0.000 0.000
-2.739 4.744 0.000
0.000 0.000 10.193
O I Zr Ag
12 2 2 2
Direct
0.637 0.030 0.356
0.030 0.393 0.644
0.637 0.607 0.144
0.607 0.970 0.856
0.970 0.607 0.356
0.030 0.637 0.856
0.393 0.030 0.144
0.970 0.363 0.144
0.363 0.970 0.644
0.393 0.363 0.356
0.363 0.393 0.856
0.607 0.637 0.644
0.667 0.333 0.250
0.333 0.667 0.750
0.333 0.667 0.250
0.667 0.333 0.750
0.000 0.000 0.500
0.000 0.000 0.000
```


(4)
DFT (PBE-GGA) results for Y2AlZn3 after structural relaxation.

Output
Formation enthalpy at 0 K = -363 meV per atom

Structure (POSCAR):
```
Y2AlZn3
1.0
3.666 0.000 -0.976
-0.315 4.163 -1.183
0.240 0.109 8.277
Zn Y Al
3 2 1
Direct
0.298 0.798 0.596
0.700 0.700 0.401
0.540 0.540 0.081
0.128 0.128 0.255
0.873 0.373 0.746
0.461 0.961 0.921
```


Table of M_tot (μB per atom), in record order: 0.000; 0.767; 0.000; 0.000